# 1
A geometry-optimized Er2PuAg3S6 structure. Source: Alexandria via LeMat-Bulk, functional PBE.

abc: 8.7826 8.7826 7.5771
angles: 98.98 98.98 26.44
Atoms (fractional coordinates):
Er1 0.1675 0.1675 0.3399
Er2 0.8325 0.8325 0.6601
Pu1 0.5000 0.5000 0.0000
Ag1 0.1586 0.1586 0.8487
Ag2 0.5000 0.5000 0.5000
Ag3 0.8414 0.8414 0.1513
S1 0.0055 0.0055 0.2519
S2 0.3283 0.3283 0.4137
S3 0.3348 0.3348 0.9051
S4 0.6652 0.6652 0.0949
S5 0.6717 0.6717 0.5863
S6 0.9945 0.9945 0.7481

Calculated values
Space group: C2/m, No. 12
Formation energy without anion corrections: -1.19 eV per atom



# 2
A geometry-optimized MgFe10N8 structure. Source: Alexandria via LeMat-Bulk, functional PBE.

abc: 8.6601 8.6601 7.7261
angles: 113.75 113.75 21.48
Atoms (fractional coordinates):
Mg1 0.0000 0.0000 0.0000
Fe1 0.0945 0.0945 0.6005
Fe2 0.1717 0.1717 0.9715
Fe3 0.2727 0.2727 0.3058
Fe4 0.3453 0.3453 0.6991
Fe5 0.4958 0.4958 0.6755
Fe6 0.5042 0.5042 0.3245
Fe7 0.6547 0.6547 0.3009
Fe8 0.7273 0.7273 0.6942
Fe9 0.8283 0.8283 0.0285
Fe10 0.9055 0.9055 0.3995
N1 0.0508 0.0508 0.7869
N2 0.1518 0.1518 0.1944
N3 0.2970 0.2970 0.1058
N4 0.3817 0.3817 0.5064
N5 0.6183 0.6183 0.4936
N6 0.7030 0.7030 0.8942
N7 0.8482 0.8482 0.8056
N8 0.9492 0.9492 0.2131

Calculated values
Space group: C2/m, No. 12
Formation energy without anion corrections: 0.01 eV per atom



# 3
A geometry-optimized RbCa3Hf structure. Source: Alexandria via LeMat-Bulk, functional PBE.

abc: 6.3083 6.3083 6.3083
angles: 90.00 90.00 90.00
Atoms (fractional coordinates):
Rb1 0.0000 0.0000 0.0000
Ca1 0.0000 0.5000 0.5000
Ca2 0.5000 0.0000 0.5000
Ca3 0.5000 0.5000 0.0000
Hf1 0.5000 0.5000 0.5000

Calculated values
Space group: Pm-3m, No. 221
Distance to the lowest polymorph of the same formula: 0.000 eV/atom



# 4
A geometry-optimized KNa3H3 structure. Source: Alexandria via LeMat-Bulk, functional PBE.

abc: 6.6321 6.6321 6.6321
angles: 90.00 90.00 90.00
Atoms (fractional coordinates):
K1 0.0000 0.0000 0.0000
K2 0.5000 0.5000 0.5000
Na1 0.0000 0.2500 0.5000
Na2 0.0000 0.7500 0.5000
Na3 0.2500 0.5000 0.0000
Na4 0.5000 0.0000 0.2500
Na5 0.5000 0.0000 0.7500
Na6 0.7500 0.5000 0.0000
H1 0.0000 0.5000 0.2500
H2 0.0000 0.5000 0.7500
H3 0.2500 0.0000 0.5000
H4 0.5000 0.2500 0.0000
H5 0.5000 0.7500 0.0000
H6 0.7500 0.0000 0.5000

Calculated values
Space group: Pm-3n, No. 223
Energy: -30.219 eV for the cell shown



# 5
A geometry-optimized Ba2CuMo structure. Source: Alexandria via LeMat-Bulk, functional PBE.

abc: 5.6779 5.6779 5.6779
angles: 60.00 60.00 60.00
Atoms (fractional coordinates):
Ba1 0.2500 0.2500 0.2500
Ba2 0.7500 0.7500 0.7500
Cu1 0.0000 0.0000 0.0000
Mo1 0.5000 0.5000 0.5000

Calculated values
Space group: Fm-3m, No. 225
Distance to the lowest polymorph of the same formula: 0.247 eV/atom



# 6
A geometry-optimized Pm2SiRu structure. Source: Alexandria via LeMat-Bulk, functional PBE.

abc: 7.6175 7.6175 7.6175
angles: 31.74 31.74 31.74
Atoms (fractional coordinates):
Pm1 0.0000 0.0000 0.0000
Pm2 0.1730 0.1730 0.1730
Si1 0.7534 0.7534 0.7534
Ru1 0.4200 0.4200 0.4200

Calculated values
Space group: R3m, No. 160
Formation energy without anion corrections: -0.49 eV per atom



# 7
A geometry-optimized Hf2GaRu3 structure. Source: Alexandria via LeMat-Bulk, functional PBE.

abc: 3.2081 3.2081 9.3432
angles: 90.00 90.00 90.00
Atoms (fractional coordinates):
Hf1 0.0000 0.0000 0.1771
Hf2 0.0000 0.0000 0.8229
Ga1 0.0000 0.0000 0.5000
Ru1 0.5000 0.5000 0.0000
Ru2 0.5000 0.5000 0.3451
Ru3 0.5000 0.5000 0.6549

Calculated values
Space group: P4/mmm, No. 123
Energy: -54.874 eV for the cell shown



# 8
A geometry-optimized LiDyNiGe2 structure. Source: Alexandria via LeMat-Bulk, functional PBE.

abc: 5.8931 5.8931 5.8931
angles: 140.01 140.01 57.84
Atoms (fractional coordinates):
Li1 0.0000 0.0000 0.0000
Dy1 0.2500 0.7500 0.5000
Ni1 0.5000 0.5000 0.0000
Ge1 0.6288 0.1288 0.5000
Ge2 0.8712 0.3712 0.5000

Calculated values
Space group: I-4m2, No. 119
Energy: -24.658 eV for the cell shown



# 9
A geometry-optimized VIn2RuSe structure. Source: Alexandria via LeMat-Bulk, functional PBE.

abc: 5.2340 5.2340 4.5217
angles: 90.00 90.00 90.00
Atoms (fractional coordinates):
V1 0.0000 0.0000 0.0000
In1 0.0000 0.5000 0.0000
In2 0.5000 0.0000 0.0000
Ru1 0.5000 0.5000 0.5000
Se1 0.0000 0.0000 0.5000

Calculated values
Space group: P4/mmm, No. 123
Formation energy without anion corrections: 0.92 eV per atom



# 10
A geometry-optimized YZn3Si structure. Source: Alexandria via LeMat-Bulk, functional PBE.

abc: 5.4032 5.4032 5.4032
angles: 90.00 90.00 90.00
Atoms (fractional coordinates):
Y1 0.0000 0.0000 0.0000
Zn1 0.0000 0.0000 0.5000
Zn2 0.0000 0.5000 0.0000
Zn3 0.5000 0.0000 0.0000
Si1 0.5000 0.5000 0.5000

Calculated values
Space group: Pm-3m, No. 221
Distance to the lowest polymorph of the same formula: 1.067 eV/atom
Formation energy without anion corrections: 1.24 eV per atom



# 11
A geometry-optimized DyGaOs structure. Source: Alexandria via LeMat-Bulk, functional PBE.

abc: 5.5971 5.5971 5.5971
angles: 145.35 145.35 49.81
Atoms (fractional coordinates):
Dy1 0.0000 0.0000 0.0000
Ga1 0.7048 0.7048 0.0000
Os1 0.3182 0.3182 0.0000

Calculated values
Space group: I4mm, No. 107
Energy: -19.659 eV for the cell shown



# 12
A geometry-optimized LiMgBiP2 structure. Source: Alexandria via LeMat-Bulk, functional PBE.

abc: 4.5635 4.5635 5.0376
angles: 90.00 90.00 90.00
Atoms (fractional coordinates):
Li1 0.0000 0.0000 0.0000
Mg1 0.5000 0.5000 0.5000
Bi1 0.0000 0.0000 0.5000
P1 0.0000 0.5000 0.0000
P2 0.5000 0.0000 0.0000

Calculated values
Space group: P4/mmm, No. 123
Energy: -16.020 eV for the cell shown



# 13
A geometry-optimized TbEr3F structure. Source: Alexandria via LeMat-Bulk, functional PBE.

abc: 5.0010 5.0010 5.0010
angles: 90.00 90.00 90.00
Atoms (fractional coordinates):
Tb1 0.0000 0.0000 0.0000
Er1 0.0000 0.5000 0.5000
Er2 0.5000 0.0000 0.5000
Er3 0.5000 0.5000 0.0000
F1 0.5000 0.5000 0.5000

Calculated values
Space group: Pm-3m, No. 221
Formation energy without anion corrections: -0.90 eV per atom